GGA-PBE SrMg3Ir, optimized geometry; formation enthalpy at 0 K = -0.22 eV/atom; DFT total energy = -16.4 eV for the cell shown; energy above the lowest structure with this stoichiometry = 0.000 eV per atom
1.0
5.0924 0.0000 0.0000
0.0000 5.0924 0.0000
0.0000 0.0000 5.0924
Sr Mg Ir
1 3 1
Cartesian
0.0000 0.0000 0.0000
0.0000 2.5462 2.5462
2.5462 0.0000 2.5462
2.5462 2.5462 0.0000
2.5462 2.5462 2.5462